Compound: CoCu2Ni
Source: Alexandria via LeMat-Bulk
Functional: PBEsol
Structure: optimized geometry

a = 2.465 Å, b = 2.465 Å, c = 8.317 Å
α = 81.48°, β = 81.48°, γ = 60.00°
Last column: magnetic moment on the atom in μB.
Sites, in units of the cell vectors:
Ni 0.500 0.500 0.500  0.25
Co 0.000 0.000 0.000  1.54
Cu 0.250 0.250 0.251  0.03
Cu 0.750 0.750 0.749  0.03

Summary:
- Crystal system: trigonal
- Formation energy from the elements: 0.079 eV/atom